## SmNbP2Ru (PBE)

Data for an optimized crystal structure of SmNbP2Ru.

Cell and atoms, written as POSCAR:
```
SmNbP2Ru
1.0
4.2373 0.0000 0.0000
0.0000 4.2373 0.0000
-2.1186 -2.1186 4.9288
Sm Nb P Ru
1 1 2 1
direct
0.0000 0.0000 0.0000
0.7500 0.2500 0.5000
0.6274 0.6274 0.2549
0.3726 0.3726 0.7451
0.2500 0.7500 0.5000
```

E_form: -836 meV per atom
Raw total energy: -7.813 eV per atom
Fermi-level density of states: 1.1070 states/eV/atom


## AuI2O6 (PBE)

Data for an optimized crystal structure of AuI2O6.

Cell and atoms, written as POSCAR:
```
AuI2O6
1.0
4.0353 0.0000 0.0000
2.0176 5.0875 0.1599
2.0176 2.3406 7.3093
Au I O
1 2 6
direct
0.0000 0.5000 0.5000
0.1908 0.8008 0.8176
0.8092 0.1992 0.1824
0.6981 0.7484 0.8554
0.3019 0.2516 0.1446
0.9735 0.8114 0.2416
0.3330 0.7385 0.5956
0.0265 0.1886 0.7584
0.6670 0.2615 0.4044
```

Raw total energy: -4.072 eV per atom
Fermi-level density of states: 0.3826 states/eV/atom
Uncorrected formation energy: -58 meV per atom


## ZrCrSi4 (PBE)

Data for an optimized crystal structure of ZrCrSi4.

Cell and atoms, written as POSCAR:
```
ZrCrSi4
1.0
-0.1180 -4.6296 -1.9206
0.2605 -3.9809 3.0364
-4.0338 -2.8969 0.6871
Zr Cr Si
1 1 4
direct
0.7500 0.7500 0.7500
0.0000 0.0000 0.0000
0.8770 0.3743 0.3743
0.3743 0.3743 0.8770
0.3743 0.8770 0.3743
0.3743 0.3743 0.3743
```

Raw total energy: -6.566 eV per atom
Fermi-level density of states: 0.7897 states/eV/atom
Uncorrected formation energy: 78 meV per atom